Record 1
Material: PmSi2Pt
Method: DFT, PBE
State: optimized geometry

Cell lengths 7.0993, 4.1420, 10.5016 Å; angles 90.00, 90.00, 90.00 degrees
Closest atoms and distances in Å follow each position.
Space group Pnma (No. 62)
Symmetry-distinct sites (fractional):
Pm: 0.1345 0.2500 0.1395  5 Pt 3.07-3.26, 8 Si 3.13-3.31
Si: 0.0247 0.2500 0.6458  2 Pt 2.39-2.42, 1 Si 2.48
Si: 0.1819 0.2500 0.4354  2 Pt 2.47, 3 Si 2.48-2.68
Pt: 0.1847 0.2500 0.8455  4 Si 2.39-2.47

Output
V in Å³/atom: 19.3
E_form (uncorrected) in eV per formula unit: -3.51
Polymorph energy (0 for the lowest one) in eV/f.u.: 0.551
Spin magnetization in μB per cell: 0.00


Record 2
Material: LiCa2AgCl
Method: DFT, PBE
State: optimized geometry

Cell lengths 5.5002, 5.5002, 4.3596 Å; angles 90.00, 90.00, 90.00 degrees
Closest atoms and distances in Å follow each position.
Space group P4/mmm (No. 123)
Symmetry-distinct sites (fractional):
Li: 0.0000 0.0000 0.0000  2 Cl 2.18
Ca: 0.0000 0.5000 0.5000  2 Cl 2.75
Ag: 0.5000 0.5000 0.0000  8 Ca 3.51, 4 Li 3.89
Cl: 0.0000 0.0000 0.5000  2 Li 2.18

Output
V in Å³/atom: 26.4
E_form (uncorrected) in eV per formula unit: -2.99
Polymorph energy (0 for the lowest one) in eV/f.u.: 0.000
Spin magnetization in μB per cell: 0.00


Record 3
Material: KDyTe4
Method: DFT, PBE
State: optimized geometry

Cell lengths 6.8470, 6.8470, 8.9097 Å; angles 90.00, 90.00, 90.00 degrees
Closest atoms and distances in Å follow each position.
Space group P4/nbm (No. 125, origin choice 2)
Symmetry-distinct sites (fractional):
K: 0.2500 0.2500 0.0000  8 Te 3.70
Dy: 0.2500 0.2500 0.5000  8 Te 3.20
Te: 0.1034 0.6034 0.2928  1 Te 2.84

Output
V in Å³/atom: 34.8
E_form (uncorrected) in eV per formula unit: -5.55
Spin magnetization in μB per cell: 0.00


Record 4
Material: TbPm2Nd2Tm2
Method: DFT, PBE
State: optimized geometry

Cell lengths 11.3773, 5.0896, 8.0550 Å; angles 90.00, 98.17, 90.00 degrees
Closest atoms and distances in Å follow each position.
Space group C2/m (No. 12)
Symmetry-distinct sites (fractional):
Tb: 0.0000 0.0000 0.0000  4 Nd 3.57, 6 Tm 3.58-3.60, 2 Pm 3.60
Pm: 0.1436 0.0000 0.4283  3 Pm 3.59-3.62, 1 Tb 3.60, 5 Nd 3.61-3.63, 3 Tm 3.61-3.62
Nd: 0.0711 0.5000 0.7192  4 Tm 3.55-3.59, 2 Tb 3.57, 5 Pm 3.61-3.63, 1 Nd 3.67
Tm: 0.2150 0.5000 0.1403  4 Nd 3.55-3.59, 2 Tm 3.57, 3 Tb 3.58-3.60, 3 Pm 3.61-3.62

Output
V in Å³/atom: 33.0
DFT total energy in eV/cell: -65.0
Spin magnetization in μB per cell: 0.00


Record 5
Material: SrIrRh2
Method: DFT, PBE
State: optimized geometry

Cell lengths 2.8762, 3.7843, 6.7937 Å; angles 90.00, 90.00, 90.00 degrees
Closest atoms and distances in Å follow each position.
Space group Pmmm (No. 47)
Symmetry-distinct sites (fractional):
Sr: 0.0000 0.0000 0.0000  2 Sr 2.88, 8 Rh 3.17
Ir: 0.0000 0.0000 0.5000  8 Rh 2.71, 2 Ir 2.88
Rh: 0.5000 0.5000 0.3088  3 Rh 2.60-2.88, 4 Ir 2.71

Output
V in Å³/atom: 18.5
Polymorph energy (0 for the lowest one) in eV/f.u.: 1.259
Spin magnetization in μB per cell: 0.00


Record 6
Material: DyHo2Pd
Method: DFT, PBE
State: optimized geometry

Cell lengths 3.5655, 3.5655, 8.3633 Å; angles 90.00, 90.00, 90.00 degrees
Closest atoms and distances in Å follow each position.
Space group P4/mmm (No. 123)
Symmetry-distinct sites (fractional):
Dy: 0.0000 0.0000 0.0000  8 Ho 3.56, 4 Dy 3.57
Ho: 0.5000 0.5000 0.3012  4 Pd 3.02, 1 Ho 3.33
Pd: 0.0000 0.0000 0.5000  8 Ho 3.02

Output
V in Å³/atom: 26.6
Polymorph energy (0 for the lowest one) in eV/f.u.: 0.242
Spin magnetization in μB per cell: 0.00


Record 7
Material: Y2GaCl
Method: DFT, PBE
State: optimized geometry

Cell lengths 7.2322, 7.2322, 7.2322 Å; angles 90.00, 90.00, 90.00 degrees
Closest atoms and distances in Å follow each position.
Space group Fm-3m (No. 225)
Symmetry-distinct sites (fractional):
Y: 0.2500 0.2500 0.2500  4 Ga 3.13, 4 Cl 3.13
Ga: 0.0000 0.0000 0.0000  8 Y 3.13
Cl: 0.0000 0.0000 0.5000  8 Y 3.13

Output
V in Å³/atom: 23.6
E_form (uncorrected) in eV per formula unit: -3.00
Polymorph energy (0 for the lowest one) in eV/f.u.: 0.809
Spin magnetization in μB per cell: 0.00